Record 1
First-principles (PBE) data for AgOs2I after structural relaxation, as listed in Alexandria.

Output
SG: I-42d
Electronic total energy: -5.049 eV per atom
Energy relative to the elements, uncorrected: 1.67 eV/atom
E above lowest polymorph: 197 meV/atom

abc: 7.596 7.596 5.985
angles: 50.61 50.61 90.00
Fractional coordinates of all 8 atoms:
I  0.000  0.000  0.000
I  0.750  0.250  0.500
Os  0.643  0.125  0.250
Os  0.107  0.625  0.250
Os  0.375  0.357  0.750
Os  0.875  0.893  0.750
Ag  0.500  0.500  0.000
Ag  0.250  0.750  0.500


Record 2
First-principles (PBE) data for InAsW after structural relaxation, as listed in Alexandria.

Output
SG: F-43m
Electronic total energy: -5.873 eV per atom
E above lowest polymorph: 689 meV/atom
ΔH_f (0 K): 0.907 eV per atom

abc: 4.428 4.428 4.428
angles: 60.00 60.00 60.00
Fractional coordinates of all 3 atoms:
As  0.750  0.750  0.750
W  0.500  0.500  0.500
In  0.000  0.000  0.000


Record 3
First-principles (PBE) data for CsKSn2Hg after structural relaxation, as listed in Alexandria.

Output
SG: Imm2
Electronic total energy: -2.239 eV per atom
ΔH_f (0 K): -0.187 eV per atom

abc: 4.634 6.076 8.195
angles: 111.76 106.42 90.00
Fractional coordinates of all 5 atoms:
Cs  0.426  0.426  0.851
K  0.184  0.684  0.368
Sn  0.687  0.187  0.374
Sn  0.063  0.063  0.126
Hg  0.853  0.853  0.705


Record 4
First-principles (PBE) data for NaLi2SmP2 after structural relaxation, as listed in Alexandria.

Output
SG: P-3m1
Electronic total energy: -4.348 eV per atom
ΔH_f (0 K): -0.900 eV per atom

abc: 4.245 4.245 7.030
angles: 90.00 90.00 120.00
Fractional coordinates of all 6 atoms:
Na  0.000  0.000  0.500
Li  0.333  0.667  0.671
Li  0.667  0.333  0.329
Sm  0.000  0.000  0.000
P  0.333  0.667  0.242
P  0.667  0.333  0.758


Record 5
First-principles (PBE) data for TaZn2 after structural relaxation, as listed in Alexandria.

Output
SG: Cm
Electronic total energy: -4.705 eV per atom
ΔH_f (0 K): 0.095 eV per atom

abc: 5.481 5.481 6.786
angles: 75.48 75.48 30.02
Fractional coordinates of all 6 atoms:
Ta  0.992  0.992  0.006
Ta  0.343  0.343  0.330
Zn  0.621  0.621  0.272
Zn  0.944  0.944  0.619
Zn  0.665  0.665  0.664
Zn  0.269  0.269  0.942


Record 6
First-principles (PBE) data for Pr2LuBi after structural relaxation, as listed in Alexandria.

Output
SG: P4/mmm
Electronic total energy: -4.885 eV per atom
E above lowest polymorph: 0 meV/atom
ΔH_f (0 K): -0.395 eV per atom

abc: 4.325 4.325 6.888
angles: 90.00 90.00 90.00
Fractional coordinates of all 4 atoms:
Pr  0.000  0.000  0.760
Pr  0.000  0.000  0.240
Lu  0.500  0.500  0.500
Bi  0.500  0.500  0.000


Record 7
First-principles (PBE) data for PmSmMg after structural relaxation, as listed in Alexandria.

Output
SG: P3m1
Electronic total energy: -3.660 eV per atom
E above lowest polymorph: 83 meV/atom
ΔH_f (0 K): 0.028 eV per atom

abc: 3.452 5.532 5.532
angles: 120.00 90.00 90.00
Fractional coordinates of all 3 atoms:
Mg  0.333  0.333  0.667
Sm  0.617  0.667  0.333
Pm  0.050  0.000  0.000


Record 8
First-principles (PBE) data for KZn2Te after structural relaxation, as listed in Alexandria.

Output
SG: C2/m
Electronic total energy: -1.671 eV per atom
Energy relative to the elements, uncorrected: 0.03 eV/atom

abc: 5.821 6.891 3.178
angles: 76.82 89.64 114.89
Fractional coordinates of all 4 atoms:
K  0.000  0.500  0.500
Te  0.500  0.500  0.000
Zn  0.000  0.000  0.000
Zn  0.500  0.000  0.500


Record 9
First-principles (PBE) data for TlHg2I after structural relaxation, as listed in Alexandria.

Output
SG: P4/mmm
Electronic total energy: -1.384 eV per atom
Energy relative to the elements, uncorrected: -0.25 eV/atom
E above lowest polymorph: 54 meV/atom

abc: 6.231 4.870 4.870
angles: 90.00 90.00 90.00
Fractional coordinates of all 4 atoms:
I  0.500  0.500  0.500
Tl  0.500  0.000  0.000
Hg  0.000  0.000  0.500
Hg  0.000  0.500  0.000


Record 10
First-principles (PBE) data for InAu after structural relaxation, as listed in Alexandria.

Output
SG: Imma
Electronic total energy: -3.099 eV per atom
ΔH_f (0 K): -0.091 eV per atom

abc: 6.432 6.432 6.432
angles: 152.98 134.14 54.04
Fractional coordinates of all 4 atoms:
Au  0.387  0.637  0.250
Au  0.613  0.363  0.750
In  0.853  0.103  0.250
In  0.147  0.897  0.750


Record 11
First-principles (PBE) data for CuSbMo2 after structural relaxation, as listed in Alexandria.

Output
SG: Pmmm
Electronic total energy: -7.114 eV per atom
Energy relative to the elements, uncorrected: 0.36 eV/atom

abc: 3.437 4.300 4.421
angles: 90.00 90.00 90.00
Fractional coordinates of all 4 atoms:
Cu  0.000  0.500  0.500
Mo  0.000  0.000  0.000
Mo  0.500  0.500  0.000
Sb  0.500  0.000  0.500


Record 12
First-principles (PBE) data for KScAgBr5 after structural relaxation, as listed in Alexandria.

Output
SG: C2/c
Electronic total energy: -3.693 eV per atom
Energy relative to the elements, uncorrected: -1.36 eV/atom

abc: 7.772 7.772 10.312
angles: 101.68 101.68 110.22
Fractional coordinates of all 16 atoms:
K  0.345  0.655  0.250
K  0.655  0.345  0.750
Sc  0.000  0.000  0.500
Sc  0.000  0.000  0.000
Ag  0.688  0.312  0.250
Ag  0.312  0.688  0.750
Br  0.068  0.932  0.250
Br  0.932  0.068  0.750
Br  0.914  0.297  0.087
Br  0.086  0.703  0.913
Br  0.703  0.086  0.413
Br  0.297  0.914  0.587
Br  0.752  0.639  0.445
Br  0.248  0.361  0.555
Br  0.361  0.248  0.055
Br  0.639  0.752  0.945